DFT (PBE) results for crystalline ScTlTeN2 at its relaxed geometry.

```
ScTlTeN2
1.0
4.2812 0.0000 0.0000
0.0000 4.2812 0.0000
0.0000 0.0000 6.1272
Sc Tl Te N
1 1 1 2
Direct
0.0000 0.0000 0.0000
0.5000 0.5000 0.5000
0.5000 0.5000 0.0000
0.0000 0.5000 0.5000
0.5000 0.0000 0.5000
```

Calculated values
**Formation energy from raw total energies**: 1.298 eV/atom
**Size of the total moment**: 1.56 Bohr magnetons per cell
**Volume**: 22.46 Å³/atom
**Excess energy over the best structure of this formula in the dataset**: 777 meV/atom
**Uncorrected energy**: -4.400 eV/atom